1.
Compound: BeZn2B
Source: OQMD
Functional: PBE
Structure: relaxed

Values from the calculation:
E_tot (eV/atom): -2.438
Volume (Å³ per cell): 181.7

abc: 5.664 5.664 5.664
angles: 90.00 90.00 90.00
Space group F-43m (No. 216)
Inequivalent atoms, fractional coordinates:
Be 0.000 0.000 0.000 x4
Zn 0.000 0.000 0.500 x4
Zn 0.250 0.250 0.750 x4
B 0.250 0.250 0.250 x4



2.
Compound: Nb5SiGe3
Source: OQMD
Functional: PBE
Structure: relaxed

Values from the calculation:
E_tot (eV/atom): -8.227
Magnetization (μB per atom): 0.000
Volume (Å³ per cell): 297.0

abc: 7.9654 7.9654 5.4051
angles: 90.00 90.00 120.00
Space group P6_3/mcm (No. 193)
Inequivalent atoms, fractional coordinates:
Nb 0.0000 0.2696 0.2500 x6
Nb 0.3333 0.6667 0.0000 x4
Si 0.0000 0.0000 0.0000 x2
Ge 0.0000 0.3946 0.7500 x6



3.
Compound: PrScCu2Sn2
Source: OQMD
Functional: PBE
Structure: relaxed

Values from the calculation:
E_tot (eV/atom): -4.988
Magnetization (μB per atom): 0.001
Volume (Å³ per cell): 128.6

abc: 4.5081 4.5081 7.3054
angles: 90.00 90.00 120.00
Space group P3m1 (No. 156)
Inequivalent atoms, fractional coordinates:
Pr 0.0000 0.0000 0.0000 x1
Sc 0.0000 0.0000 0.4984 x1
Cu 0.3333 0.6667 0.3352 x1
Cu 0.6667 0.3333 0.7712 x1
Sn 0.3333 0.6667 0.7112 x1
Sn 0.6667 0.3333 0.2541 x1



4.
Compound: Zr2Tc
Source: OQMD
Functional: PBE
Structure: relaxed

Values from the calculation:
Formation energy (eV/f.u.): 0.0
Magnetization (μB per atom): 0.001
Volume (Å³ per cell): 243.5

abc: 4.632 9.337 5.632
angles: 90.00 90.00 90.00
Space group Pmmn (No. 59, origin choice 2)
Inequivalent atoms, fractional coordinates:
Zr 0.250 0.051 0.176 x4
Zr 0.250 0.250 0.650 x2
Zr 0.250 0.750 0.980 x2
Tc 0.250 0.608 0.566 x4